No. 1
NaAgAsCl6 | PBE-GGA | relaxed

## Properties
Total moment, μB/atom: 0.1254
Calculated volume, Å³/atom: 26.41
ΔE_f (raw), eV per atom: -0.752
D(E_F), states/eV/f.u.: 8.60

```
9
Lattice="-1.885 -5.091 3.054 4.254 1.369 4.909 -6.183 2.409 0.198" Properties=species:S:1:pos:R:3 pbc="T T T"
Cl -0.537 1.620 5.751
Cl 0.928 -1.674 7.104
Cl -2.602 -1.141 5.813
Cl 2.346 -0.345 4.255
Cl -0.150 -3.245 3.820
Cl -0.989 -0.194 2.448
Na -2.704 2.062 1.768
Ag -0.167 -0.830 4.865
As -0.943 -2.545 1.527
```

=====

No. 2
Hf4ZnCo2 | PBE-GGA | relaxed

## Properties
Energy of formation, meV per atom: -89
Total moment, μB/atom: 0.0000
Calculated volume, Å³/atom: 18.90
D(E_F), states/eV/f.u.: 4.37

```
7
Lattice="4.263 0.000 0.000 2.132 3.692 0.000 2.132 1.231 8.406" Properties=species:S:1:pos:R:3 pbc="T T T"
Zn 0.000 0.000 0.000
Hf 2.132 1.231 3.277
Hf 4.263 2.461 7.085
Hf 6.395 3.692 5.129
Hf 4.263 2.461 1.321
Co 6.395 3.692 2.465
Co 2.132 1.231 5.941
```

=====

No. 3
TaAlNi2 | PBE-GGA | relaxed

## Properties
Energy of formation, meV per atom: -294
Total moment, μB/atom: 0.0000
Calculated volume, Å³/atom: 13.54
D(E_F), states/eV/f.u.: 1.42

```
4
Lattice="-2.394 -1.825 -0.322 0.278 -0.872 2.881 -3.581 4.402 1.679" Properties=species:S:1:pos:R:3 pbc="T T T"
Al -3.900 2.145 2.612
Ni -1.888 -0.329 1.668
Ni -0.009 0.011 0.004
Ta -1.692 2.080 0.793
```

=====

No. 4
Nd2Dy3Ho2 | PBE-GGA | relaxed

## Properties
Energy of formation, meV per atom: 18
Total moment, μB/atom: 0.0000
Distance to the lowest polymorph of the same formula, eV per atom: 0.000
Calculated volume, Å³/atom: 32.29
D(E_F), states/eV/f.u.: 9.04

```
7
Lattice="3.551 -0.102 0.443 0.353 10.722 -0.384 1.026 -0.401 6.072" Properties=species:S:1:pos:R:3 pbc="T T T"
Ho 1.771 2.991 0.935
Ho 3.159 7.227 5.197
Nd 1.754 8.963 2.406
Nd 3.176 1.255 3.727
Dy 0.000 0.000 0.000
Dy 1.393 4.311 4.240
Dy 3.537 5.907 1.892
```

=====

No. 5
KTl2CoBr6 | PBE-GGA | relaxed

## Properties
Total moment, μB/atom: 0.0025
Calculated volume, Å³/atom: 32.77
ΔE_f (raw), eV per atom: -0.770

```
20
Lattice="-1.475 3.265 -6.376 -7.976 0.613 2.158 1.854 9.871 4.048" Properties=species:S:1:pos:R:3 pbc="T T T"
Br -2.013 12.184 0.090
Br -0.833 4.849 -2.544
Br -5.398 5.365 -3.657
Br -6.917 8.250 -1.011
Br -2.124 1.340 -0.135
Br -0.679 5.499 0.842
Br -1.863 7.902 -1.319
Br -5.733 5.847 1.149
Br -6.763 8.901 2.375
Br -2.198 8.384 3.488
Br -5.583 1.565 -0.260
Br -5.472 12.410 -0.034
K -3.061 5.242 3.103
K -0.737 1.633 -3.188
Tl -3.877 9.561 0.908
Tl -0.568 10.529 -3.043
Tl -7.027 3.221 2.874
Tl -3.719 4.188 -1.078
Co 0.190 6.568 -1.164
Co -3.988 0.306 1.079
```

=====

No. 6
CeTmTlSn | PBE-GGA | relaxed

## Properties
Energy of formation, meV per atom: -412
Total moment, μB/atom: 0.3710
Distance to the lowest polymorph of the same formula, eV per atom: 0.000
Calculated volume, Å³/atom: 27.69
D(E_F), states/eV/f.u.: 8.64

```
4
Lattice="3.942 0.000 0.000 0.000 3.942 0.000 0.000 0.000 7.129" Properties=species:S:1:pos:R:3 pbc="T T T"
Ce 1.971 1.971 0.828
Tm 1.971 1.971 4.256
Sn 0.000 0.000 2.672
Tl 0.000 0.000 5.987
```